Record 1
This record from the Alexandria database describes a relaxed structure of LaHgTeF2. The functional is PBE.

Cell lengths 4.621, 4.621, 6.576 Å; angles 90.00, 90.00, 90.00 degrees
Space group P4/mmm (No. 123)
Inequivalent atoms, fractional coordinates:
La: 0.000 0.000 0.000 x1
Hg: 0.500 0.500 0.500 x1
Te: 0.000 0.000 0.500 x1
F: 0.000 0.500 0.000 x2

Calculated values
* formation energy (no corrections): -12.0 eV per formula unit
* total magnetization: 0.00 Bohr magnetons per cell
* E: -4.816 eV per atom

***

Record 2
This record from the Alexandria database describes a relaxed structure of LiHgF4. The functional is PBE.

Cell lengths 5.587, 3.670, 10.392 Å; angles 90.00, 122.27, 90.00 degrees
Space group P2_1/c (No. 14)
Inequivalent atoms, fractional coordinates:
Li: 0.000 0.000 0.000 x2
Hg: 0.500 0.000 0.500 x2
F: 0.196 0.079 0.887 x4
F: 0.279 0.586 0.108 x4

Calculated values
* formation energy (no corrections): -10.1 eV per formula unit
* energy above the most stable polymorph in this dataset: 47 meV per atom
* total magnetization: 2.02 Bohr magnetons per cell
* E: -3.297 eV per atom

***

Record 3
This record from the Alexandria database describes a relaxed structure of Li3Hg2F8. The functional is PBE.

Cell lengths 11.156, 6.049, 5.206 Å; angles 90.00, 110.06, 90.00 degrees
Space group C2/m (No. 12)
Inequivalent atoms, fractional coordinates:
Li: 0.000 0.000 0.000 x2
Li: 0.000 0.256 0.500 x4
Hg: 0.231 0.500 0.195 x4
F: 0.103 0.000 0.413 x4
F: 0.104 0.500 0.430 x4
F: 0.116 0.226 0.904 x8

Calculated values
* formation energy (no corrections): -26.1 eV per formula unit
* energy above the most stable polymorph in this dataset: 0 meV per atom
* total magnetization: 2.11 Bohr magnetons per cell
* E: -3.650 eV per atom

***

How do the records compare in calculated density? In the order shown, they have 5.97, 5.23, 5.78 g/cm³.